Material: MnOF
Method: DFT, PBE+U
State: relaxed

Properties
For the calculated volume, the calculation gives 11.67 Å³/atom. As for the total energy: -6.7278 eV/atom.

Structure (CIF):
```
data_MnOF
_chemical_formula_sum 'Mn6 O6 F6'
_symmetry_space_group_name_H-M 'P 1 2/m 1'
_symmetry_Int_Tables_number 10
_cell_length_a 4.7831
_cell_length_b 3.0993
_cell_length_c 14.1856
_cell_angle_alpha 90.00
_cell_angle_beta 92.22
_cell_angle_gamma 90.00
loop_
_symmetry_equiv_pos_as_xyz
'x,y,z'
'-x,-y,-z'
'-x,y,-z'
'x,-y,z'
loop_
_atom_site_label
_atom_site_type_symbol
_atom_site_fract_x
_atom_site_fract_y
_atom_site_fract_z
Mn1 Mn 0.0000 0.0000 0.0000
Mn2 Mn 0.0570 0.0000 0.3315
Mn3 Mn 0.4033 0.5000 0.8323
Mn4 Mn 0.5000 0.5000 0.5000
O1 O 0.1656 0.5000 0.9354
O2 O 0.2249 0.0000 0.7695
O3 O 0.3332 0.0000 0.4324
F1 F 0.1467 0.5000 0.6066
F2 F 0.2748 0.5000 0.2647
F3 F 0.3624 0.0000 0.1064
```